No. 1
Here is a geometry-optimized Be4Cr structure from the Alexandria database. Energies are from PBE.

**Calculated total energy**: -3.771 eV per atom
**Energy above the most stable polymorph in this dataset**: 0.000 eV/atom
**Total magnetization**: 4.02 μB/f.u.
**D(E_F)**: 0.6293 states/eV per atom

a b c (Å): 4.504 4.504 4.504
angles (deg): 109.47 109.47 109.47
Atoms (fractional coordinates):
Be (0.000, 0.500, 0.000)
Be (0.500, 0.500, 0.500)
Be (0.500, 0.000, 0.000)
Cr (0.000, 0.000, 0.000)
Be (0.000, 0.000, 0.500)

No. 2
Here is a geometry-optimized ZnSiIr2 structure from the Alexandria database. Energies are from PBE.

**Calculated total energy**: -6.167 eV per atom
**Energy relative to the elements, uncorrected**: -0.0622 eV/atom
**Total magnetization**: 0.40 μB/f.u.
**D(E_F)**: 1.1349 states/eV per atom

a b c (Å): 8.470 8.470 8.470
angles (deg): 19.24 19.24 19.24
Atoms (fractional coordinates):
Ir (0.002, 0.002, 0.002)
Si (0.504, 0.504, 0.504)
Ir (0.243, 0.243, 0.243)
Zn (0.751, 0.751, 0.751)